Record 1
A plane-wave DFT calculation with PBE was carried out for ScTl2GeS4 after structural relaxation.

abc: 6.6645 3.7357 7.7592
angles: 90.00 106.00 90.00
Fractional positions:
1 Sc 0.0000 0.0000 0.0000
2 Tl 0.0000 0.5000 0.5000
3 Tl 0.5000 0.0000 0.5000
4 Ge 0.5000 0.5000 0.0000
5 S 0.2321 0.5000 0.1852
6 S 0.2724 0.0000 0.8130
7 S 0.7276 0.0000 0.1870
8 S 0.7679 0.5000 0.8148

Computed properties:
- E_form (uncorrected): -0.7887 eV/atom
- Calculated volume: 23.212 Å³ per atom
- Theoretical density: 5854 kg/m3
- Symmetry: No. 10
- Total magnetic moment: 0.0000 μB per atom


Record 2
A plane-wave DFT calculation with PBE was carried out for K2Te2As after structural relaxation.

abc: 20.4865 8.3394 9.2109
angles: 90.00 90.00 90.00
Fractional positions:
1 K 0.0431 0.2500 0.0822
2 K 0.0600 0.7500 0.4257
3 K 0.1885 0.2500 0.4988
4 K 0.2157 0.2500 0.8952
5 K 0.2843 0.7500 0.3952
6 K 0.3115 0.7500 0.9988
7 K 0.4400 0.2500 0.9257
8 K 0.4569 0.7500 0.5822
9 K 0.5431 0.2500 0.4178
10 K 0.5600 0.7500 0.0743
11 K 0.6885 0.2500 0.0012
12 K 0.7157 0.2500 0.6048
13 K 0.7843 0.7500 0.1048
14 K 0.8115 0.7500 0.5012
15 K 0.9400 0.2500 0.5743
16 K 0.9569 0.7500 0.9178
17 Te 0.0817 0.0045 0.7395
18 Te 0.0817 0.4955 0.7395
19 Te 0.1791 0.5075 0.1809
20 Te 0.1791 0.9925 0.1809
21 Te 0.3209 0.0075 0.6809
22 Te 0.3209 0.4925 0.6809
23 Te 0.4183 0.5045 0.2395
24 Te 0.4183 0.9955 0.2395
25 Te 0.5817 0.0045 0.7605
26 Te 0.5817 0.4955 0.7605
27 Te 0.6791 0.5075 0.3191
28 Te 0.6791 0.9925 0.3191
29 Te 0.8209 0.0075 0.8191
30 Te 0.8209 0.4925 0.8191
31 Te 0.9183 0.5045 0.2605
32 Te 0.9183 0.9955 0.2605
33 As 0.1131 0.7500 0.0718
34 As 0.1510 0.7500 0.8114
35 As 0.3490 0.2500 0.3114
36 As 0.3869 0.2500 0.5718
37 As 0.6131 0.7500 0.4282
38 As 0.6510 0.7500 0.6886
39 As 0.8490 0.2500 0.1886
40 As 0.8869 0.2500 0.9282

Computed properties:
- E_form (uncorrected): -0.6932 eV/atom
- Calculated volume: 39.341 Å³ per atom
- Theoretical density: 3447 kg/m3
- Symmetry: No. 62
- Polymorph energy (0 for the lowest one): 0 meV per atom
- Total magnetic moment: 0.0000 μB per atom


Record 3
A plane-wave DFT calculation with PBE was carried out for TmGe2Ir3 after structural relaxation.

abc: 8.4449 8.4449 9.8006
angles: 107.66 107.66 27.70
Fractional positions:
1 Tm 0.0000 0.0000 0.0000
2 Tm 0.1622 0.1622 0.7053
3 Tm 0.8378 0.8378 0.2947
4 Ge 0.1931 0.1931 0.1274
5 Ge 0.3623 0.3623 0.5443
6 Ge 0.4605 0.4605 0.2169
7 Ge 0.5395 0.5395 0.7831
8 Ge 0.6377 0.6377 0.4557
9 Ge 0.8069 0.8069 0.8726
10 Ir 0.0392 0.0392 0.3274
11 Ir 0.2171 0.2171 0.3916
12 Ir 0.3195 0.3195 0.0430
13 Ir 0.3811 0.3811 0.8047
14 Ir 0.5000 0.5000 0.5000
15 Ir 0.6189 0.6189 0.1953
16 Ir 0.6805 0.6805 0.9570
17 Ir 0.7829 0.7829 0.6084
18 Ir 0.9608 0.9608 0.6726

Computed properties:
- Calculated volume: 17.144 Å³ per atom
- Theoretical density: 14381 kg/m3
- Symmetry: No. 12
- Formation energy from the elements: -607 meV/atom
- Total magnetic moment: 0.0000 μB per atom


Record 4
A plane-wave DFT calculation with PBE was carried out for CeB4 after structural relaxation.

abc: 7.1713 7.1713 4.0723
angles: 90.00 90.00 90.00
Fractional positions:
1 Ce 0.1869 0.3131 0.0000
2 Ce 0.3131 0.8131 0.0000
3 Ce 0.6869 0.1869 0.0000
4 Ce 0.8131 0.6869 0.0000
5 B 0.0000 0.0000 0.2019
6 B 0.0000 0.0000 0.7981
7 B 0.0386 0.8239 0.5000
8 B 0.0880 0.5880 0.5000
9 B 0.1761 0.0386 0.5000
10 B 0.3239 0.5386 0.5000
11 B 0.4120 0.0880 0.5000
12 B 0.4614 0.3239 0.5000
13 B 0.5000 0.5000 0.2019
14 B 0.5000 0.5000 0.7981
15 B 0.5386 0.6761 0.5000
16 B 0.5880 0.9120 0.5000
17 B 0.6761 0.4614 0.5000
18 B 0.8239 0.9614 0.5000
19 B 0.9120 0.4120 0.5000
20 B 0.9614 0.1761 0.5000

Computed properties:
- Calculated volume: 10.472 Å³ per atom
- Theoretical density: 5815 kg/m3
- Symmetry: No. 127
- Polymorph energy (0 for the lowest one): 0 meV per atom
- Formation energy from the elements: -629 meV/atom
- Total magnetic moment: 0.0001 μB per atom


Record 5
A plane-wave DFT calculation with PBE was carried out for PuPaN4 after structural relaxation.

abc: 3.7551 3.7551 5.3359
angles: 90.00 90.00 90.00
Fractional positions:
1 Pu 0.0000 0.0000 0.0000
2 Pa 0.5000 0.5000 0.5000
3 N 0.0000 0.5000 0.2397
4 N 0.0000 0.5000 0.7603
5 N 0.5000 0.0000 0.2397
6 N 0.5000 0.0000 0.7603

Computed properties:
- E_form (uncorrected): -0.9956 eV/atom
- Calculated volume: 12.540 Å³ per atom
- Theoretical density: 11721 kg/m3
- Symmetry: No. 123
- Polymorph energy (0 for the lowest one): 37 meV per atom
- Total magnetic moment: 0.1776 μB per atom


Record 6
A plane-wave DFT calculation with PBE was carried out for MgFe2Ir2 after structural relaxation.

abc: 7.2285 7.2285 2.6862
angles: 90.00 90.00 90.00
Fractional positions:
1 Mg 0.0000 0.0000 0.0000
2 Mg 0.5000 0.5000 0.0000
3 Fe 0.1687 0.3313 0.5000
4 Fe 0.3313 0.8313 0.5000
5 Fe 0.6687 0.1687 0.5000
6 Fe 0.8313 0.6687 0.5000
7 Ir 0.1289 0.6289 0.0000
8 Ir 0.3711 0.1289 0.0000
9 Ir 0.6289 0.8711 0.0000
10 Ir 0.8711 0.3711 0.0000

Computed properties:
- Calculated volume: 14.036 Å³ per atom
- Theoretical density: 12314 kg/m3
- Symmetry: No. 127
- Polymorph energy (0 for the lowest one): 109 meV per atom
- Formation energy from the elements: 95 meV/atom
- Total magnetic moment: 0.0000 μB per atom